Record 1
La2CoO5 | GGA+U | relaxed

a b c (Å): 4.095 10.914 11.085
angles (deg): 89.96 89.44 90.36
Sites, in units of the cell vectors:
Co: 0.806 0.794 0.864
Co: 0.799 0.293 0.636
Co: 0.190 0.206 0.136
Co: 0.308 0.706 0.364
O: 0.264 0.053 0.199
O: 0.258 0.703 0.523
O: 0.220 0.239 0.630
O: 0.758 0.025 0.405
O: 0.249 0.293 0.274
O: 0.254 0.793 0.226
O: 0.736 0.947 0.800
O: 0.223 0.737 0.870
O: 0.239 0.553 0.301
O: 0.775 0.263 0.130
O: 0.750 0.707 0.726
O: 0.741 0.525 0.095
O: 0.245 0.475 0.905
O: 0.726 0.762 0.370
O: 0.741 0.447 0.700
O: 0.755 0.296 0.477
O: 0.250 0.976 0.595
O: 0.758 0.797 0.022
O: 0.240 0.202 0.978
O: 0.739 0.207 0.774
La: 0.244 0.636 0.065
La: 0.747 0.864 0.565
La: 0.239 0.076 0.785
La: 0.748 0.424 0.285
La: 0.246 0.576 0.715
La: 0.257 0.136 0.435
La: 0.756 0.924 0.215
La: 0.741 0.364 0.935

Values from the calculation:
**Symmetry**: P1, No. 1
**Final energy**: -7.430 eV/atom


Record 2
LaCoO2 | GGA+U | relaxed

a b c (Å): 6.430 6.430 6.430
angles (deg): 29.33 29.33 29.33
Sites, in units of the cell vectors:
O: 0.880 0.880 0.880
O: 0.120 0.120 0.120
La: 0.000 0.000 0.000
Co: 0.500 0.500 0.500

Values from the calculation:
**Symmetry**: R-3m, No. 166
**Final energy**: -5.965 eV/atom


Record 3
LaCoO2 | GGA+U | relaxed

a b c (Å): 6.013 6.013 6.013
angles (deg): 37.32 37.32 37.32
Sites, in units of the cell vectors:
O: 0.892 0.892 0.892
O: 0.108 0.108 0.108
Co: 0.000 0.000 0.000
La: 0.500 0.500 0.500

Values from the calculation:
**Symmetry**: R-3m, No. 166
**Final energy**: -7.263 eV/atom


Record 4
La3CoO6 | GGA+U | relaxed

a b c (Å): 5.698 7.590 7.590
angles (deg): 102.87 90.00 90.00
Sites, in units of the cell vectors:
La: 0.970 0.087 0.308
La: 0.470 0.308 0.087
La: 0.970 0.692 0.913
La: 0.470 0.913 0.692
La: 0.430 0.395 0.605
La: 0.930 0.605 0.395
Co: 0.007 0.187 0.813
Co: 0.507 0.813 0.187
O: 0.704 0.328 0.353
O: 0.204 0.672 0.647
O: 0.204 0.353 0.328
O: 0.678 0.891 0.412
O: 0.656 0.951 0.049
O: 0.688 0.214 0.786
O: 0.678 0.588 0.109
O: 0.156 0.049 0.951
O: 0.188 0.786 0.214
O: 0.178 0.109 0.588
O: 0.178 0.412 0.891
O: 0.704 0.647 0.672

Values from the calculation:
**Symmetry**: Cmc2_1, No. 36
**Final energy**: -7.828 eV/atom


Record 5
LaCo3O | GGA+U | relaxed

a b c (Å): 4.610 4.610 4.610
angles (deg): 90.00 90.00 90.00
Sites, in units of the cell vectors:
La: 0.000 0.000 0.000
Co: 0.500 0.000 0.000
Co: 0.000 0.500 0.000
Co: 0.000 0.000 0.500
O: 0.500 0.500 0.500

Values from the calculation:
**Symmetry**: Pm-3m, No. 221
**Excess energy over the best structure of this formula in the dataset**: 1697 meV per atom
**Final energy**: -3.075 eV/atom


Record 6
La3Co2O9 | GGA+U | relaxed

a b c (Å): 6.931 6.931 6.931
angles (deg): 83.69 83.69 83.69
Sites, in units of the cell vectors:
Co: 0.346 0.346 0.346
Co: 0.846 0.846 0.846
Co: 0.654 0.654 0.654
Co: 0.154 0.154 0.154
O: 0.909 0.750 0.591
O: 0.250 0.409 0.091
O: 0.409 0.091 0.250
O: 0.264 0.088 0.919
O: 0.736 0.912 0.081
O: 0.912 0.081 0.736
O: 0.750 0.591 0.909
O: 0.588 0.764 0.419
O: 0.764 0.419 0.588
O: 0.412 0.236 0.581
O: 0.081 0.736 0.912
O: 0.236 0.581 0.412
O: 0.591 0.909 0.750
O: 0.581 0.412 0.236
O: 0.088 0.919 0.264
O: 0.919 0.264 0.088
O: 0.419 0.588 0.764
O: 0.091 0.250 0.409
La: 0.250 0.910 0.590
La: 0.750 0.090 0.410
La: 0.090 0.410 0.750
La: 0.590 0.250 0.910
La: 0.910 0.590 0.250
La: 0.410 0.750 0.090

Values from the calculation:
**Symmetry**: R-3c, No. 167
**Final energy**: -7.098 eV/atom


Record 7
La2CoO | GGA+U | relaxed

a b c (Å): 5.742 5.742 7.191
angles (deg): 66.47 66.47 90.00
Sites, in units of the cell vectors:
La: 0.594 0.125 0.250
La: 0.875 0.844 0.750
La: 0.375 0.406 0.750
La: 0.156 0.625 0.250
O: 0.500 0.500 0.000
O: 0.250 0.750 0.500
Co: 0.750 0.250 0.500
Co: 0.000 0.000 0.000

Values from the calculation:
**Symmetry**: I-42d, No. 122
**Final energy**: -5.940 eV/atom


Record 8
LaCoO2 | GGA+U | relaxed

a b c (Å): 4.547 4.547 6.868
angles (deg): 70.67 70.67 90.00
Sites, in units of the cell vectors:
Co: 0.500 0.500 0.000
Co: 0.250 0.750 0.500
O: 0.578 0.125 0.250
O: 0.375 0.422 0.750
O: 0.172 0.625 0.250
O: 0.875 0.828 0.750
La: 0.750 0.250 0.500
La: 0.000 0.000 0.000

Values from the calculation:
**Symmetry**: I-42d, No. 122
**Final energy**: -6.891 eV/atom


Number 1: total magnetization 3.027 μB/f.u., calculated density 5.6 g/cm³. Number 2: total magnetization 0.895 μB/f.u., calculated density 6.8 g/cm³. Number 3: total magnetization 2.000 μB/f.u., calculated density 5.3 g/cm³. Number 4: total magnetization 4.032 μB/f.u., calculated density 5.9 g/cm³. Number 5: total magnetization 3.430 μB/f.u., calculated density 5.6 g/cm³. Number 6: total magnetization 3.030 μB/f.u., calculated density 6.9 g/cm³. Number 7: total magnetization 0.000 μB/f.u., calculated density 6.0 g/cm³. Number 8: total magnetization 2.001 μB/f.u., calculated density 6.1 g/cm³.